1.
A plane-wave DFT calculation with PBE was carried out for an optimized crystal structure of RbBi3F10.

Calculated values
magnetic moment	0.0	μB/f.u.
space group	Fm-3m (225)
uncorrected formation energy	-35.67	eV/f.u.

abc: 8.590 8.590 8.590
angles: 60.00 60.00 60.00
Fractional positions:
Rb 0.250 0.250 0.250
Rb 0.750 0.750 0.750
Bi 0.759 0.241 0.241
Bi 0.241 0.759 0.759
Bi 0.241 0.759 0.241
Bi 0.759 0.241 0.759
Bi 0.241 0.241 0.759
Bi 0.759 0.759 0.241
F 0.829 0.500 0.500
F 0.171 0.500 0.500
F 0.500 0.829 0.171
F 0.500 0.171 0.829
F 0.500 0.829 0.500
F 0.171 0.500 0.829
F 0.500 0.171 0.500
F 0.829 0.500 0.171
F 0.500 0.500 0.829
F 0.500 0.500 0.171
F 0.171 0.829 0.500
F 0.829 0.171 0.500
F 0.113 0.113 0.113
F 0.887 0.887 0.887
F 0.113 0.113 0.661
F 0.113 0.661 0.113
F 0.887 0.887 0.339
F 0.887 0.339 0.887
F 0.661 0.113 0.113
F 0.339 0.887 0.887


2.
A plane-wave DFT calculation with PBE was carried out for an optimized crystal structure of RbBiF3.

Calculated values
magnetic moment	0.0	μB/f.u.
space group	Pm-3m (221)
uncorrected formation energy	-10.59	eV/f.u.

abc: 4.840 4.840 4.840
angles: 90.00 90.00 90.00
Fractional positions:
Bi 0.000 0.000 0.000
Rb 0.500 0.500 0.500
F 0.000 0.500 0.000
F 0.000 0.000 0.500
F 0.500 0.000 0.000


3.
A plane-wave DFT calculation with PBE was carried out for an optimized crystal structure of RbBiF3.

Calculated values
magnetic moment	1.0	μB/f.u.
space group	Pm-3m (221)
uncorrected formation energy	-5.83	eV/f.u.

abc: 4.909 4.909 4.909
angles: 90.00 90.00 90.00
Fractional positions:
Bi 0.500 0.500 0.500
Rb 0.000 0.000 0.000
F 0.000 0.500 0.000
F 0.000 0.000 0.500
F 0.500 0.000 0.000


4.
A plane-wave DFT calculation with PBE was carried out for an optimized crystal structure of Rb3BiF7.

Calculated values
magnetic moment	0.9	μB/f.u.
space group	Cm (8)
uncorrected formation energy	-27.69	eV/f.u.

abc: 6.507 6.507 7.106
angles: 63.60 63.60 87.65
Fractional positions:
Rb 0.763 0.232 0.490
Rb 0.499 0.499 0.934
Rb 0.232 0.763 0.490
Bi 0.955 0.955 0.039
F 0.127 0.127 0.152
F 0.656 0.120 0.187
F 0.992 0.295 0.738
F 0.120 0.656 0.187
F 0.675 0.675 0.411
F 0.295 0.992 0.738
F 0.810 0.810 0.885


5.
A plane-wave DFT calculation with PBE was carried out for an optimized crystal structure of RbBi2F.

Calculated values
magnetic moment	0.0	μB/f.u.
space group	I-42d (122)
uncorrected formation energy	-2.47	eV/f.u.

abc: 6.151 6.151 9.475
angles: 71.06 71.06 90.00
Fractional positions:
Bi 0.377 0.125 0.250
Bi 0.373 0.625 0.250
Bi 0.375 0.623 0.750
Bi 0.875 0.627 0.750
Rb 0.000 0.000 0.000
Rb 0.750 0.250 0.500
F 0.500 0.500 0.000
F 0.250 0.750 0.500


6.
A plane-wave DFT calculation with PBE was carried out for an optimized crystal structure of Rb2BiF8.

Calculated values
magnetic moment	1.0	μB/f.u.
space group	C2/m (12)
uncorrected formation energy	-22.69	eV/f.u.

abc: 6.938 6.835 8.817
angles: 112.81 128.54 90.00
Fractional positions:
Bi 0.000 0.000 0.000
Rb 0.377 0.318 0.637
Rb 0.623 0.682 0.363
F 0.741 0.087 0.763
F 0.259 0.324 0.237
F 0.835 0.066 0.133
F 0.165 0.934 0.867
F 0.741 0.676 0.763
F 0.259 0.913 0.237
F 0.307 0.459 0.919
F 0.693 0.541 0.081


7.
A plane-wave DFT calculation with PBE was carried out for an optimized crystal structure of RbBiF4.

Calculated values
magnetic moment	0.0	μB/f.u.
space group	Cmcm (63)
uncorrected formation energy	-15.62	eV/f.u.

abc: 4.587 6.675 9.337
angles: 90.00 104.22 90.00
Fractional positions:
Rb 0.313 0.750 0.625
Rb 0.687 0.250 0.375
Bi 0.090 0.750 0.179
Bi 0.910 0.250 0.821
F 0.177 0.518 0.354
F 0.823 0.482 0.646
F 0.177 0.982 0.354
F 0.823 0.018 0.646
F 0.599 0.750 0.198
F 0.401 0.250 0.802
F 0.000 0.500 0.000
F 0.000 0.000 0.000


8.
A plane-wave DFT calculation with PBE was carried out for an optimized crystal structure of RbBiF3.

Calculated values
magnetic moment	0.0	μB/f.u.
space group	P4/nmm (129)
uncorrected formation energy	-10.30	eV/f.u.

abc: 4.260 4.260 13.426
angles: 90.00 90.00 90.00
Fractional positions:
Rb 0.500 0.000 0.334
Rb 0.000 0.500 0.666
Bi 0.000 0.500 0.113
Bi 0.500 0.000 0.887
F 0.500 0.500 0.802
F 0.000 0.000 0.000
F 0.500 0.500 0.000
F 0.500 0.500 0.198
F 0.000 0.000 0.198
F 0.000 0.000 0.802


9.
A plane-wave DFT calculation with PBE was carried out for an optimized crystal structure of RbBi2F7.

Calculated values
magnetic moment	0.0	μB/f.u.
space group	Cmmm (65)
uncorrected formation energy	-25.63	eV/f.u.

abc: 4.550 6.957 6.957
angles: 116.27 90.00 90.00
Fractional positions:
Rb 0.000 0.000 0.000
Bi 0.500 0.695 0.305
Bi 0.500 0.305 0.695
F 0.000 0.716 0.284
F 0.000 0.284 0.716
F 0.500 0.043 0.331
F 0.500 0.957 0.669
F 0.500 0.331 0.043
F 0.500 0.669 0.957
F 0.500 0.500 0.500


10.
A plane-wave DFT calculation with PBE was carried out for an optimized crystal structure of Rb3BiF6.

Calculated values
magnetic moment	0.0	μB/f.u.
space group	P2_1/c (14)
uncorrected formation energy	-26.79	eV/f.u.

abc: 6.736 7.008 9.596
angles: 90.00 89.23 90.00
Fractional positions:
Rb 0.517 0.949 0.756
Rb 0.500 0.500 0.000
Rb 0.483 0.051 0.244
Rb 0.017 0.551 0.256
Rb 0.000 0.000 0.500
Rb 0.983 0.449 0.744
Bi 0.500 0.500 0.500
Bi 0.000 0.000 0.000
F 0.725 0.178 0.951
F 0.670 0.235 0.574
F 0.615 0.439 0.278
F 0.385 0.561 0.722
F 0.330 0.765 0.426
F 0.275 0.822 0.049
F 0.225 0.322 0.451
F 0.170 0.265 0.074
F 0.115 0.061 0.778
F 0.885 0.939 0.222
F 0.830 0.735 0.926
F 0.775 0.678 0.549


11.
A plane-wave DFT calculation with PBE was carried out for an optimized crystal structure of Rb5Bi2F12.

Calculated values
magnetic moment	0.0	μB/f.u.
space group	C2/m (12)
uncorrected formation energy	-47.91	eV/f.u.

abc: 8.195 8.962 6.999
angles: 120.39 90.00 117.21
Fractional positions:
Rb 0.246 0.491 0.626
Rb 0.321 0.641 0.225
Rb 0.000 0.000 0.500
Rb 0.679 0.359 0.775
Rb 0.754 0.509 0.374
Bi 0.752 0.000 0.000
Bi 0.248 0.000 0.000
F 0.066 0.131 0.210
F 0.069 0.752 0.060
F 0.682 0.752 0.060
F 0.181 0.764 0.612
F 0.583 0.764 0.612
F 0.567 0.134 0.962
F 0.433 0.866 0.038
F 0.819 0.236 0.388
F 0.417 0.236 0.388
F 0.931 0.248 0.940
F 0.318 0.248 0.940
F 0.934 0.869 0.790


12.
A plane-wave DFT calculation with PBE was carried out for an optimized crystal structure of Rb2BiF.

Calculated values
magnetic moment	0.0	μB/f.u.
space group	I-42d (122)
uncorrected formation energy	-4.68	eV/f.u.

abc: 8.227 8.227 7.524
angles: 56.86 56.86 90.00
Fractional positions:
Bi 0.000 0.000 0.000
Bi 0.750 0.250 0.500
Rb 0.510 0.125 0.250
Rb 0.240 0.625 0.250
Rb 0.375 0.490 0.750
Rb 0.875 0.760 0.750
F 0.500 0.500 0.000
F 0.250 0.750 0.500